No. 1
This record from Alexandria via LeMat-Bulk describes SmZrSc2 after structural relaxation. The functional is PBE-GGA.

Values from the calculation:
The calculation puts the energy relative to the elements at 0.096 eV per atom. Its space group is P4/mmm. The calculation puts the density of states at the Fermi level at 6.97 states/eV/cell. The energy above the most stable polymorph in this dataset comes out at 5.7 kJ/mol of atoms.

abc: 3.812 3.812 7.212
angles: 90.00 90.00 90.00
Sites, in units of the cell vectors:
Sc  0.000  0.000  0.217
Sc  0.000  0.000  0.783
Sm  0.500  0.500  0.500
Zr  0.500  0.500  0.000

***

No. 2
This record from Alexandria via LeMat-Bulk describes Y2ZnIrOs after structural relaxation. The functional is PBE-GGA.

Values from the calculation:
The calculation puts the energy relative to the elements at 0.328 eV per atom. Its space group is P4/mmm. The calculation puts the density of states at the Fermi level at 4.30 states/eV/cell.

abc: 5.381 4.689 5.381
angles: 90.00 90.00 90.00
Sites, in units of the cell vectors:
Os  0.000  0.500  0.000
Y  0.500  0.000  0.000
Y  0.000  0.000  0.500
Ir  0.000  0.000  0.000
Zn  0.500  0.500  0.500